No. 1
# PBEsol CrSiAg, relaxed
# Crystal system: trigonal
data_CrSiAg
_cell_length_a 2.7281
_cell_length_b 2.7281
_cell_length_c 6.4035
_cell_angle_alpha 90.00
_cell_angle_beta 90.00
_cell_angle_gamma 120.00
_space_group_name_H-M_alt 'P 3 m 1'
_space_group_IT_number 156
loop_
_space_group_symop_operation_xyz
'x,y,z'
'-y,x-y,z'
'-x+y,-x,z'
'-y,-x,z'
'-x+y,y,z'
'x,x-y,z'
loop_
_atom_site_label
_atom_site_type_symbol
_atom_site_fract_x
_atom_site_fract_y
_atom_site_fract_z
Cr1 Cr 0.0000 0.0000 0.0000
Si1 Si 0.3333 0.6667 0.7112
Ag1 Ag 0.6667 0.3333 0.3563



No. 2
# PBEsol KAu3O, relaxed
# Crystal system: cubic
data_KAu3O
_cell_length_a 5.571
_cell_length_b 5.571
_cell_length_c 5.571
_cell_angle_alpha 90.00
_cell_angle_beta 90.00
_cell_angle_gamma 90.00
_space_group_name_H-M_alt 'P m -3 m'
_space_group_IT_number 221
_space_group_name_Hall '-P 4 2 3'
loop_
_atom_site_label
_atom_site_type_symbol
_atom_site_fract_x
_atom_site_fract_y
_atom_site_fract_z
K1 K 0.000 0.000 0.000
Au1 Au 0.000 0.000 0.500
O1 O 0.500 0.500 0.500



no.,Fermi-level density of states (states/eV/f.u.),formation energy (no corrections) (eV/atom),electronic total energy (eV/atom)
1,2.3,0.29,-6.146
2,7.7,2.00,-1.631